Entry 1
DFT (PBE) results for a relaxed TlCu2W crystal.

Unit cell a=4.7829 b=4.7829 c=4.7829 alpha=129.44 beta=129.44 gamma=74.31
Closest atoms and distances in Å follow each position.
Sites, in units of the cell vectors:
Cu: 0.5000 0.5000 0.0000  4 Tl 2.79, 4 W 2.79, 4 Cu 2.89
Cu: 0.0000 0.0000 0.0000  4 W 2.79, 4 Tl 2.79, 4 Cu 2.89
Tl: 0.2500 0.7500 0.5000  8 Cu 2.79, 4 W 2.89
W: 0.7500 0.2500 0.5000  8 Cu 2.79, 4 Tl 2.89

Computed properties:
The theoretical density comes out at 13450 kg/m³. The calculation puts the total magnetization at 0.0 μB per cell.


Entry 2
DFT (PBE) results for a relaxed TlCu2W crystal.

Unit cell a=4.2024 b=2.8285 c=5.5398 alpha=75.14 beta=90.00 gamma=90.00
Closest atoms and distances in Å follow each position.
Sites, in units of the cell vectors:
Cu: 0.5000 0.0690 0.2382  2 Cu 2.49, 2 W 2.75
Cu: 0.0000 0.1923 0.9870  2 Cu 2.49, 4 W 2.73, 1 Tl 2.73
Tl: 0.0000 0.4493 0.4776  7 Cu 2.73-2.99, 2 Tl 2.83
W: 0.5000 0.7894 0.7972  7 Cu 2.73-2.99, 2 W 2.83

Computed properties:
The theoretical density comes out at 13445 kg/m³. The calculation puts the total magnetization at 0.0 μB per cell.


Entry 3
DFT (PBE) results for a relaxed TlCu2W crystal.

Unit cell a=4.6834 b=4.6834 c=5.2311 alpha=83.54 beta=83.54 gamma=35.70
Closest atoms and distances in Å follow each position.
Sites, in units of the cell vectors:
Tl: 0.7500 0.7500 0.7500  6 Cu 2.81-3.00, 2 Tl 2.87, 4 W 2.98
W: 0.2500 0.2500 0.2500  6 Cu 2.64-2.69, 2 W 2.87
Cu: 0.9914 0.9914 0.0506  2 Cu 2.55, 3 W 2.64-2.69, 1 Tl 2.81
Cu: 0.5086 0.5086 0.4494  2 Cu 2.55, 3 W 2.64-2.69, 1 Tl 2.81

Computed properties:
The theoretical density comes out at 12870 kg/m³. The calculation puts the total magnetization at 0.0 μB per cell.


Taking the most stable structure as the zero point, the relative energies in meV/atom are entry 1 175; entry 2 0; entry 3 6.


Entry 1
DFT (PBE) results for a relaxed YTl2Cu2 crystal.

Unit cell a=4.3376 b=4.3376 c=6.5299 alpha=70.60 beta=70.60 gamma=90.00
Closest atoms and distances in Å follow each position.
Sites, in units of the cell vectors:
Tl: 0.2500 0.7500 0.5000  4 Cu 2.77, 4 Tl 3.07
Tl: 0.7500 0.2500 0.5000  4 Cu 2.77, 4 Tl 3.07
Cu: 0.3995 0.3995 0.2010  1 Cu 2.32
Cu: 0.6005 0.6005 0.7990  1 Cu 2.32
Y: 0.0000 0.0000 0.0000  8 Cu 3.28, 8 Tl 3.61

Computed properties:
The theoretical density comes out at 9565 kg/m³. The calculation puts the total magnetization at 0.0 μB per cell.


Entry 2
DFT (PBE) results for a relaxed YTl2Cu2 crystal.

Unit cell a=7.2805 b=7.2805 c=4.0946 alpha=90.00 beta=90.00 gamma=90.00
Closest atoms and distances in Å follow each position.
Sites, in units of the cell vectors:
Tl: 0.1854 0.6854 0.5000  6 Cu 2.89-3.04
Tl: 0.6854 0.8146 0.5000  6 Cu 2.89-3.04
Tl: 0.3146 0.1854 0.5000  6 Cu 2.89-3.04
Tl: 0.8146 0.3146 0.5000  6 Cu 2.89-3.04
Cu: 0.3839 0.8839 0.0000  1 Cu 2.39
Cu: 0.6161 0.1161 0.0000  1 Cu 2.39
Cu: 0.1161 0.3839 0.0000  1 Cu 2.39
Cu: 0.8839 0.6161 0.0000  1 Cu 2.39
Y: 0.5000 0.5000 0.0000  4 Cu 2.92
Y: 0.0000 0.0000 0.0000  4 Cu 2.92

Computed properties:
The theoretical density comes out at 9560 kg/m³. The calculation puts the total magnetization at 0.0 μB per cell.


Entry 3
DFT (PBE) results for a relaxed YTl2Cu2 crystal.

Unit cell a=8.1209 b=8.1209 c=3.2832 alpha=90.00 beta=90.00 gamma=90.00
Closest atoms and distances in Å follow each position.
Sites, in units of the cell vectors:
Y: 0.0000 0.0000 0.0000  4 Tl 3.15, 2 Y 3.28, 8 Cu 3.45
Y: 0.5000 0.5000 0.0000  4 Tl 3.15, 2 Y 3.28, 8 Cu 3.45
Cu: 0.6631 0.8369 0.5000  6 Tl 2.82-2.95
Cu: 0.3369 0.1631 0.5000  6 Tl 2.82-2.95
Cu: 0.8369 0.3369 0.5000  6 Tl 2.82-2.95
Cu: 0.1631 0.6631 0.5000  6 Tl 2.82-2.95
Tl: 0.1370 0.3630 0.0000  6 Cu 2.82-2.95, 1 Tl 3.15, 2 Y 3.15
Tl: 0.6370 0.1370 0.0000  6 Cu 2.82-2.95, 1 Tl 3.15, 2 Y 3.15
Tl: 0.3630 0.8630 0.0000  6 Cu 2.82-2.95, 1 Tl 3.15, 2 Y 3.15
Tl: 0.8630 0.6370 0.0000  6 Cu 2.82-2.95, 1 Tl 3.15, 2 Y 3.15

Computed properties:
The theoretical density comes out at 9583 kg/m³. The calculation puts the total magnetization at 1.3 μB per cell.


Entry 4
DFT (PBE) results for a relaxed YTl2Cu2 crystal.

Unit cell a=4.4808 b=4.4808 c=6.3439 alpha=69.32 beta=69.32 gamma=90.00
Closest atoms and distances in Å follow each position.
Sites, in units of the cell vectors:
Y: 0.0000 0.0000 0.0000  8 Tl 3.47, 8 Cu 3.55
Cu: 0.2500 0.7500 0.5000  4 Tl 2.61
Cu: 0.7500 0.2500 0.5000  4 Tl 2.61
Tl: 0.3711 0.3711 0.2578  4 Cu 2.61, 1 Tl 2.83
Tl: 0.6289 0.6289 0.7422  4 Cu 2.61, 1 Tl 2.83

Computed properties:
The theoretical density comes out at 9402 kg/m³. The calculation puts the total magnetization at 0.0 μB per cell.


Taking the most stable structure as the zero point, the relative energies in meV/atom are entry 1 0; entry 2 22; entry 3 172; entry 4 63.


Entry 1
DFT (PBE) results for a relaxed Y4TlCu crystal.

Unit cell a=6.2812 b=6.2812 c=6.2812 alpha=60.00 beta=60.00 gamma=60.00
Closest atoms and distances in Å follow each position.
Sites, in units of the cell vectors:
Y: 0.3746 0.3746 0.3746  6 Y 3.13-3.15
Y: 0.3746 0.3746 0.8763  6 Y 3.13-3.15
Y: 0.8763 0.3746 0.3746  6 Y 3.13-3.15
Y: 0.3746 0.8763 0.3746  6 Y 3.13-3.15
Cu: 0.7500 0.7500 0.7500  12 Y 3.68, 4 Tl 3.85
Tl: 0.0000 0.0000 0.0000  12 Y 3.68, 4 Cu 3.85

Computed properties:
The theoretical density comes out at 5909 kg/m³. The calculation puts the total magnetization at 0.0 μB per cell.


Entry 2
DFT (PBE) results for a relaxed Y4TlCu crystal.

Unit cell a=4.9757 b=4.9768 c=7.3074 alpha=89.97 beta=89.98 gamma=90.00
Closest atoms and distances in Å follow each position.
Sites, in units of the cell vectors:
Y: 0.5014 0.9976 0.7273  2 Cu 3.00, 2 Tl 3.18, 1 Y 3.35
Y: 0.5012 0.9970 0.2688  2 Cu 3.00, 2 Tl 3.18, 1 Y 3.35
Y: 0.0011 0.4971 0.2689  2 Cu 3.00, 2 Tl 3.18, 1 Y 3.35
Y: 0.0015 0.4975 0.7273  2 Cu 3.00, 2 Tl 3.18, 1 Y 3.35
Tl: 0.5013 0.4972 0.9981  8 Y 3.18
Cu: 0.0013 0.9974 0.4985  8 Y 3.00

Computed properties:
The theoretical density comes out at 5722 kg/m³. The calculation puts the total magnetization at 0.0 μB per cell.


Taking the most stable structure as the zero point, the relative energies in meV/atom are entry 1 497; entry 2 0.


Entry 1
DFT (PBE) results for a relaxed YTlCu3 crystal.

Unit cell a=4.8353 b=4.8353 c=4.8353 alpha=90.00 beta=90.00 gamma=90.00
Closest atoms and distances in Å follow each position.
Sites, in units of the cell vectors:
Cu: 0.5000 0.0000 0.0000  2 Tl 2.42
Cu: 0.0000 0.5000 0.0000  2 Tl 2.42
Cu: 0.0000 0.0000 0.5000  2 Tl 2.42
Tl: 0.0000 0.0000 0.0000  6 Cu 2.42
Y: 0.5000 0.5000 0.5000  12 Cu 3.42

Computed properties:
The theoretical density comes out at 7108 kg/m³. The calculation puts the total magnetization at 0.0 μB per cell.


Entry 2
DFT (PBE) results for a relaxed YTlCu3 crystal.

Unit cell a=5.2489 b=5.2489 c=5.2489 alpha=90.00 beta=90.00 gamma=90.00
Closest atoms and distances in Å follow each position.
Sites, in units of the cell vectors:
Y: 0.0000 0.0000 0.0000  6 Cu 2.62
Cu: 0.5000 0.0000 0.0000  2 Y 2.62
Cu: 0.0000 0.5000 0.0000  2 Y 2.62
Cu: 0.0000 0.0000 0.5000  2 Y 2.62
Tl: 0.5000 0.5000 0.5000  12 Cu 3.71

Computed properties:
The theoretical density comes out at 5557 kg/m³. The calculation puts the total magnetization at 0.0 μB per cell.


Taking the most stable structure as the zero point, the relative energies in meV/atom are entry 1 0; entry 2 410.